# YMg4W (PBE, relaxed)
# Density: 4.78 g cm⁻³
# Energy of formation: 424 meV per atom
data_YMg4W
_chemical_formula_sum 'Y4 Mg16 W4'
_cell_length_a 8.009
_cell_length_b 8.009
_cell_length_c 8.009
_cell_angle_alpha 90.00
_cell_angle_beta 90.00
_cell_angle_gamma 90.00
_symmetry_space_group_name_H-M 'F -4 3 m'
_symmetry_Int_Tables_number 216
_symmetry_space_group_name_Hall 'F -4 2 3'
loop_
_atom_site_label
_atom_site_fract_x
_atom_site_fract_y
_atom_site_fract_z
_atom_site_occupancy
Y1 0.000 0.000 0.000 1
Mg1 0.124 0.124 0.624 1
W1 0.250 0.250 0.250 1